No. 1
# PBE Th2ScS6, relaxed
data_Th2ScS6
_chemical_formula_sum 'Th4 Sc2 S12'
_space_group_name_H-M_alt 'P 42/m n m'
_space_group_IT_number 136
_space_group_name_Hall '-P 4n 2n'
_cell_length_a 6.352
_cell_length_b 6.352
_cell_length_c 12.347
_cell_angle_alpha 90.00
_cell_angle_beta 90.00
_cell_angle_gamma 90.00
loop_
_atom_site_label
_atom_site_type_symbol
_atom_site_fract_x
_atom_site_fract_y
_atom_site_fract_z
Th1 Th 0.000 0.000 0.170
Sc1 Sc 0.000 0.000 0.500
S1 S 0.193 0.193 0.346
S2 S 0.205 0.205 0.000
# - Uncorrected formation energy: -14.6 eV per formula unit
# - Energy: -6.73 eV/atom
# - Size of the total moment: 0.00 μB/f.u.
# - D(E_F): 6.812 states/eV/f.u.

***

No. 2
# PBE TbSm2Sc, relaxed
data_TbSm2Sc
_chemical_formula_sum 'Tb3 Sm6 Sc3'
_space_group_name_H-M_alt 'R -3 m'
_space_group_IT_number 166
_space_group_name_Hall '-R 3 2"'
_cell_length_a 3.5349
_cell_length_b 3.5349
_cell_length_c 34.0701
_cell_angle_alpha 90.00
_cell_angle_beta 90.00
_cell_angle_gamma 120.00
loop_
_atom_site_label
_atom_site_type_symbol
_atom_site_fract_x
_atom_site_fract_y
_atom_site_fract_z
Tb1 Tb 0.0000 0.0000 0.0000
Sm1 Sm 0.0000 0.0000 0.2468
Sc1 Sc 0.0000 0.0000 0.5000
# - Distance to the lowest polymorph of the same formula: 0.006 eV/atom
# - Energy: -5.06 eV/atom
# - Size of the total moment: 0.00 μB/f.u.
# - E_form: 0.04 eV per atom
# - D(E_F): 4.874 states/eV/f.u.

***

No. 3
# PBE RbLa2Nd3Te6, relaxed
data_RbLa2Nd3Te6
_chemical_formula_sum 'Rb2 La4 Nd6 Te12'
_space_group_name_H-M_alt 'C 1 2/m 1'
_space_group_IT_number 12
_space_group_name_Hall '-C 2y'
_cell_length_a 20.132
_cell_length_b 4.542
_cell_length_c 9.363
_cell_angle_alpha 90.00
_cell_angle_beta 103.96
_cell_angle_gamma 90.00
loop_
_atom_site_label
_atom_site_type_symbol
_atom_site_fract_x
_atom_site_fract_y
_atom_site_fract_z
Rb1 Rb 0.000 0.000 0.000
La1 La 0.169 0.500 0.339
Nd1 Nd 0.000 0.000 0.500
Nd2 Nd 0.162 0.500 0.820
Te1 Te 0.002 0.500 0.268
Te2 Te 0.165 0.000 0.584
Te3 Te 0.175 0.000 0.081
# - Uncorrected formation energy: -17.3 eV per formula unit
# - Energy: -5.11 eV/atom
# - Size of the total moment: 0.00 μB/f.u.
# - D(E_F): 5.361 states/eV/f.u.

***

- Which formula does entry 2 have?
  TbSm2Sc

***

- Look up the size of the total moment of the second one.
  0.00 μB/f.u.